Below is a geometry-optimized KNa2CoO4 structure, with properties calculated at the GGA+U level. Values from VASP.

Cell and atoms, written as Quantum ESPRESSO input:
```
&SYSTEM
  ibrav = 0, nat = 8, ntyp = 4
/
ATOMIC_SPECIES
Co 58.93 Co.upf
Na 22.99 Na.upf
O 16.00 O.upf
K 39.10 K.upf
CELL_PARAMETERS angstrom
5.858 0.000 0.000
2.929 4.565 -0.710
2.929 -0.200 4.616
ATOMIC_POSITIONS angstrom
Co 2.929 2.183 1.953
Na 5.858 3.374 0.622
O 4.010 0.819 1.857
O 9.868 3.547 2.049
Na 5.858 0.991 3.285
O 7.707 2.429 3.298
K 0.000 0.000 0.000
O 1.849 1.936 0.608
```

## Properties
**Volume**: 123 Å³ per cell
**Space-group type**: I-42m (121)
**Total energy**: -4.76 eV per atom